Entry 1:
An optimized crystal structure of ThZrGe2. Source: Alexandria, functional PBE-GGA.

## Properties
VASP energy (hartree per atom): -0.2584
E_form (eV per formula unit): -2.92

Cell: 7.0639 7.0639 7.0639 Å, 33.75 33.75 33.75°
Closest atoms and distances in Å follow each position.
Fractional coordinates of all 4 atoms:
Th 0.0000 0.0000 0.0000  6 Ge 3.00
Zr 0.5000 0.5000 0.5000  6 Ge 2.80
Ge 0.2411 0.2411 0.2411  3 Zr 2.80, 3 Th 3.00
Ge 0.7589 0.7589 0.7589  3 Zr 2.80, 3 Th 3.00


Entry 2:
An optimized crystal structure of MgCrOs2. Source: Alexandria, functional PBE-GGA.

## Properties
VASP energy (hartree per atom): -0.3005
E_form (eV per formula unit): 0.97

Cell: 5.0714 5.0714 5.0714 Å, 145.40 130.23 62.03°
Closest atoms and distances in Å follow each position.
Fractional coordinates of all 4 atoms:
Mg 0.0000 0.0000 0.0000  6 Os 2.62-2.72, 2 Cr 2.68
Cr 0.7455 0.2455 0.5000  6 Os 2.53-2.62, 2 Mg 2.68
Os 0.2599 0.7599 0.5000  4 Cr 2.62, 2 Os 2.66, 2 Mg 2.72
Os 0.5121 0.5121 0.0000  2 Cr 2.53, 4 Mg 2.62, 2 Os 2.66


Entry 3:
An optimized crystal structure of Tb8Pr5Y. Source: Alexandria, functional PBE-GGA.

## Properties
VASP energy (hartree per atom): -0.1683
E_form (eV per formula unit): 3.29

Cell: 8.5493 8.5493 8.5493 Å, 110.81 110.81 106.83°
Closest atoms and distances in Å follow each position.
Fractional coordinates of all 14 atoms:
Tb 0.0792 0.3341 0.6029  5 Pr 3.38-3.59, 4 Tb 3.65-3.77
Tb 0.1675 0.4303 0.0910  4 Pr 3.16-3.53, 1 Y 3.25
Tb 0.3393 0.0765 0.9090  4 Pr 3.16-3.53, 1 Y 3.25
Tb 0.5237 0.9208 0.2550  5 Pr 3.38-3.59, 4 Tb 3.65-3.77
Tb 0.5697 0.6607 0.7372  4 Pr 3.16-3.53, 1 Y 3.25
Tb 0.6659 0.2688 0.7450  5 Pr 3.38-3.59, 4 Tb 3.65-3.77
Tb 0.7312 0.4763 0.3971  5 Pr 3.38-3.59, 4 Tb 3.65-3.77
Tb 0.9235 0.8325 0.2628  4 Pr 3.16-3.53, 1 Y 3.25
Pr 0.0306 0.7071 0.8953  8 Tb 3.41-3.59, 2 Pr 3.67
Pr 0.2929 0.1882 0.3234  8 Tb 3.41-3.59, 2 Pr 3.67
Pr 0.5000 0.5000 0.0000  8 Tb 3.16-3.38
Pr 0.8118 0.1353 0.1047  8 Tb 3.41-3.59, 2 Pr 3.67
Pr 0.8647 0.9694 0.6766  8 Tb 3.41-3.59, 2 Pr 3.67
Y 0.2500 0.7500 0.5000  4 Tb 3.25


Entry 4:
An optimized crystal structure of La2NiCl. Source: Alexandria, functional PBE-GGA.

## Properties
VASP energy (hartree per atom): -0.1956
Formation energy (no corrections) (eV/atom): -0.951

Cell: 8.0506 8.0506 8.0506 Å, 29.43 29.43 29.43°
Closest atoms and distances in Å follow each position.
Fractional coordinates of all 4 atoms:
La 0.0000 0.0000 0.0000  3 Ni 2.83
La 0.1979 0.1979 0.1979  3 Ni 2.84
Ni 0.5995 0.5995 0.5995  6 La 2.83-2.84
Cl 0.4307 0.4307 0.4307  6 La 3.26-3.31


Entry 5:
An optimized crystal structure of Pa2AgS6. Source: Alexandria, functional PBE-GGA.

## Properties
VASP energy (hartree per atom): -0.2328
Formation energy (no corrections) (eV/atom): -1.157

Cell: 7.2104 7.2104 4.0648 Å, 90.00 90.00 120.00°
Closest atoms and distances in Å follow each position.
Fractional coordinates of all 9 atoms:
Pa 0.3333 0.6667 0.2494  9 S 2.79-2.85
Pa 0.6667 0.3333 0.7506  9 S 2.79-2.85
Ag 0.0000 0.0000 0.0000  6 S 2.74
S 0.0859 0.3872 0.7487  1 Ag 2.74, 3 Pa 2.79-2.85
S 0.3013 0.9141 0.7487  1 Ag 2.74, 3 Pa 2.79-2.85
S 0.3872 0.3013 0.2513  1 Ag 2.74, 3 Pa 2.79-2.85
S 0.6128 0.6987 0.7487  1 Ag 2.74, 3 Pa 2.79-2.85
S 0.6987 0.0859 0.2513  1 Ag 2.74, 3 Pa 2.79-2.85
S 0.9141 0.6128 0.2513  1 Ag 2.74, 3 Pa 2.79-2.85


Entry 6:
An optimized crystal structure of LaYCrCo2. Source: Alexandria, functional PBE-GGA.

## Properties
VASP energy (hartree per atom): -0.2379
E_form (eV per formula unit): 2.86

Cell: 4.5547 4.5547 4.7963 Å, 90.00 90.00 90.00°
Closest atoms and distances in Å follow each position.
Fractional coordinates of all 5 atoms:
La 0.0000 0.0000 0.0000  4 Y 3.22, 8 Co 3.31
Y 0.5000 0.5000 0.0000  2 Cr 2.40
Cr 0.5000 0.5000 0.5000  4 Co 2.28, 2 Y 2.40
Co 0.0000 0.5000 0.5000  2 Cr 2.28
Co 0.5000 0.0000 0.5000  2 Cr 2.28